No. 1
# CaPmY4Se8

A relaxed CaPmY4Se8 crystal (PBE-GGA, Alexandria).

Geometry as POSCAR:
```
CaPmY4Se8
1.0
4.2409 2.4485 6.9789
-4.2409 2.4485 6.9789
0.0000 -4.8969 6.9789
Ca Pm Y Se
1 1 4 8
Cartesian
0.0000 0.0000 0.0000
0.0000 0.0000 13.1455
-2.1549 -1.2441 9.5982
0.0000 0.0000 5.2626
2.1549 -1.2441 9.5982
0.0000 2.4883 9.5982
0.0000 -2.3244 11.2625
-2.0130 1.1622 11.2625
0.0000 0.0000 8.0406
-1.9793 -1.1428 14.9596
2.0130 1.1622 11.2624
0.0000 0.0000 18.1253
1.9793 -1.1428 14.9596
0.0000 2.2855 14.9596
```

Summary:
The calculated volume comes out at 31.06 Å³ per atom. The total energy comes out at -6.130 eV/atom. The density of states at the Fermi level comes out at 0.29 states/eV per atom.

---

No. 2
# CaPm2YSe4

A relaxed CaPm2YSe4 crystal (PBE-GGA, Alexandria).

Geometry as POSCAR:
```
CaPm2YSe4
1.0
7.1974 0.0000 0.0000
0.0000 4.1379 0.0000
-2.3663 0.0000 6.8618
Ca Pm Y Se
1 2 1 4
Cartesian
0.0000 0.0000 0.0000
-1.1831 2.0690 3.4309
2.4156 0.0000 3.4309
3.5987 2.0690 0.0000
1.2190 2.0690 1.6617
0.0275 0.0000 5.2122
4.8036 0.0000 1.6496
3.6121 2.0690 5.2001
```

Summary:
The calculated volume comes out at 25.54 Å³ per atom. The total energy comes out at -5.841 eV/atom. The density of states at the Fermi level comes out at 0.39 states/eV per atom.

---

No. 3
# CaPm2Si

A relaxed CaPm2Si crystal (PBE-GGA, Alexandria).

Geometry as POSCAR:
```
CaPm2Si
1.0
3.8264 0.0000 0.0000
0.0000 3.8264 0.0000
0.0000 0.0000 8.4155
Ca Pm Si
1 2 1
Cartesian
0.0000 0.0000 0.0000
1.9132 1.9132 2.7103
1.9132 1.9132 5.7052
0.0000 0.0000 4.2077
```

Summary:
As for the energy above the lowest structure with this stoichiometry: 0.004 eV per atom. The calculated volume comes out at 30.80 Å³ per atom. The total energy comes out at -4.426 eV/atom. The density of states at the Fermi level comes out at 1.08 states/eV per atom.

---

No. 4
# Ca2PmSi6

A relaxed Ca2PmSi6 crystal (PBE-GGA, Alexandria).

Geometry as POSCAR:
```
Ca2PmSi6
1.0
7.0816 0.0000 0.0000
-3.5408 6.1329 0.0000
0.0000 0.0000 4.2293
Ca Pm Si
2 1 6
Cartesian
0.0000 4.0886 0.0000
3.5408 2.0443 0.0000
0.0000 0.0000 0.0000
-1.1789 2.0419 2.1147
-2.3619 4.0910 2.1147
2.3578 0.0000 2.1147
1.1789 2.0419 2.1147
4.7238 0.0000 2.1147
2.3619 4.0910 2.1147
```

Summary:
The calculated volume comes out at 20.41 Å³ per atom. The total energy comes out at -4.974 eV/atom. The density of states at the Fermi level comes out at 0.82 states/eV per atom.

---

No. 5
# CaPm5Si3

A relaxed CaPm5Si3 crystal (PBE-GGA, Alexandria).

Geometry as POSCAR:
```
CaPm5Si3
1.0
9.0563 0.0000 0.0000
-4.5281 7.8430 0.0000
0.0000 0.0000 6.5096
Ca Pm Si
2 10 6
Cartesian
0.0000 0.0000 0.0000
0.0000 0.0000 3.2548
-1.4962 2.5916 1.6274
-3.0319 5.2514 4.8822
2.9925 0.0000 1.6274
1.4962 2.5916 4.8822
0.0000 5.2287 0.0000
0.0000 5.2287 3.2548
4.5281 2.6143 0.0000
4.5281 2.6143 3.2548
6.0638 0.0000 4.8822
3.0319 5.2514 1.6274
-1.5269 2.6447 4.8822
-3.0012 5.1983 1.6274
3.0539 0.0000 4.8822
1.5269 2.6447 1.6274
6.0024 0.0000 1.6274
3.0012 5.1983 4.8822
```

Summary:
The calculated volume comes out at 25.69 Å³ per atom. The total energy comes out at -5.094 eV/atom. The density of states at the Fermi level comes out at 1.03 states/eV per atom.

---

No. 6
# CaPm2Si

A relaxed CaPm2Si crystal (PBE-GGA, Alexandria).

Geometry as POSCAR:
```
CaPm2Si
1.0
2.0471 1.1819 9.9443
-2.0471 1.1819 9.9443
0.0000 -2.3638 9.9443
Ca Pm Si
1 2 1
Cartesian
0.0000 0.0000 0.0000
0.0000 0.0000 6.6258
0.0000 0.0000 23.2072
0.0000 0.0000 14.9165
```

Summary:
As for the energy above the lowest structure with this stoichiometry: 0.000 eV per atom. The calculated volume comes out at 36.09 Å³ per atom. The total energy comes out at -4.430 eV/atom. The density of states at the Fermi level comes out at 1.36 states/eV per atom.

---

No. 7
# CaPmSi4

A relaxed CaPmSi4 crystal (PBE-GGA, Alexandria).

Geometry as POSCAR:
```
CaPmSi4
1.0
0.0000 3.8222 3.8222
3.8222 0.0000 3.8222
3.8222 3.8222 0.0000
Ca Pm Si
1 1 4
Cartesian
0.0000 0.0000 0.0000
1.9111 1.9111 1.9111
4.7803 2.8642 2.8642
2.8642 4.7803 2.8642
2.8642 2.8642 4.7803
4.7803 4.7803 4.7803
```

Summary:
As for the energy above the lowest structure with this stoichiometry: 0.204 eV per atom. The calculated volume comes out at 18.61 Å³ per atom. The total energy comes out at -5.009 eV/atom. The density of states at the Fermi level comes out at 0.76 states/eV per atom.

---

No. 8
# Ca3Pm3Si4

A relaxed Ca3Pm3Si4 crystal (PBE-GGA, Alexandria).

Geometry as POSCAR:
```
Ca3Pm3Si4
1.0
4.3611 0.0000 0.0000
0.0000 5.4085 5.4530
0.0000 -5.4085 5.4530
Ca Pm Si
3 3 4
Cartesian
0.0000 0.0000 0.0000
2.1805 -2.7309 6.2396
2.1805 2.7309 6.2396
0.0000 -1.9182 3.5268
0.0000 1.9182 3.5268
0.0000 0.0000 7.0486
2.1805 0.0000 2.3543
2.1805 0.0000 4.7624
2.1805 -1.2182 8.9333
2.1805 1.2182 8.9333
```

Summary:
The calculated volume comes out at 25.72 Å³ per atom. The total energy comes out at -4.793 eV/atom. The density of states at the Fermi level comes out at 0.52 states/eV per atom.

---

No. 9
# CaPm4Si4

A relaxed CaPm4Si4 crystal (PBE-GGA, Alexandria).

Geometry as POSCAR:
```
CaPm4Si4
1.0
9.1023 0.0000 0.0000
0.0000 9.1023 0.0000
0.0000 0.0000 6.0033
Ca Pm Si
2 8 8
Cartesian
2.2756 2.2756 1.5008
6.8267 6.8267 4.5025
0.6677 5.9842 0.6942
1.4331 8.4346 3.6958
3.1180 5.2188 3.6958
3.8835 7.6692 0.6942
5.2188 1.4331 5.3091
5.9842 3.8835 2.3074
7.6692 0.6677 2.3074
8.4346 3.1180 5.3091
0.1717 5.5671 3.6428
1.0160 8.9305 0.6411
3.5352 4.7229 0.6411
4.3794 8.0863 3.6428
4.7229 1.0160 2.3605
5.5671 4.3794 5.3621
8.0863 0.1717 5.3621
8.9305 3.5352 2.3605
```

Summary:
The calculated volume comes out at 27.63 Å³ per atom. The total energy comes out at -5.197 eV/atom. The density of states at the Fermi level comes out at 0.79 states/eV per atom.

---

No. 10
# CaPm2Si2

A relaxed CaPm2Si2 crystal (PBE-GGA, Alexandria).

Geometry as POSCAR:
```
CaPm2Si2
1.0
5.7582 0.0000 0.0000
0.0000 4.2642 0.0000
-1.4663 0.0000 11.3698
Ca Pm Si
2 4 4
Cartesian
0.1180 1.0660 3.2102
4.1740 3.1981 8.1596
-0.0001 1.0660 10.8926
1.4438 1.0660 7.1245
2.8481 3.1981 4.2453
4.2920 3.1981 0.4772
-0.0368 3.1981 5.4502
1.3758 3.1981 1.5248
2.9161 1.0660 9.8449
4.3287 1.0660 5.9196
```

Summary:
As for the energy above the lowest structure with this stoichiometry: 0.268 eV per atom. The calculated volume comes out at 27.92 Å³ per atom. The total energy comes out at -4.856 eV/atom. The density of states at the Fermi level comes out at 1.03 states/eV per atom.

---

No. 11
# Ca2Pm3Si2

A relaxed Ca2Pm3Si2 crystal (PBE-GGA, Alexandria).

Geometry as POSCAR:
```
Ca2Pm3Si2
1.0
6.3533 -2.1099 0.0000
6.3533 2.1099 0.0000
-3.1671 0.0000 7.8425
Ca Pm Si
2 3 2
Cartesian
1.0708 0.0000 2.4500
8.4687 0.0000 5.3924
4.5295 0.0000 0.5057
4.7697 0.0000 3.9212
5.0100 0.0000 7.3367
-0.1041 0.0000 5.5806
9.6436 0.0000 2.2619
```

Summary:
The calculated volume comes out at 30.04 Å³ per atom. The total energy comes out at -4.499 eV/atom. The density of states at the Fermi level comes out at 0.92 states/eV per atom.

---

No. 12
# CaPmSi

A relaxed CaPmSi crystal (PBE-GGA, Alexandria).

Geometry as POSCAR:
```
CaPmSi
1.0
0.0000 3.5406 3.5406
3.5406 0.0000 3.5406
3.5406 3.5406 0.0000
Ca Pm Si
1 1 1
Cartesian
0.0000 0.0000 0.0000
3.5406 3.5406 3.5406
5.3109 5.3109 5.3109
```

Summary:
The calculated volume comes out at 29.59 Å³ per atom. The total energy comes out at -4.473 eV/atom. The density of states at the Fermi level comes out at 0.73 states/eV per atom.